1.
! Cs3Sc2I7 | Alexandria | PBE | optimized geometry; values from VASP
&SYSTEM
  ibrav = 0, nat = 12, ntyp = 3
/
ATOMIC_SPECIES
Cs 132.91 Cs.upf
Sc 44.96 Sc.upf
I 126.90 I.upf
ATOMIC_POSITIONS crystal
Cs 0.500 0.500 0.000
Cs 0.500 0.683 0.365
Cs 0.500 0.317 0.635
Sc 0.000 0.902 0.804
Sc 0.000 0.098 0.196
I 0.000 0.405 0.809
I 0.000 0.805 0.610
I 0.000 0.000 0.000
I 0.000 0.595 0.191
I 0.500 0.096 0.192
I 0.500 0.904 0.808
I 0.000 0.195 0.390
CELL_PARAMETERS angstrom
-0.195 -4.159 -4.122
3.286 -3.590 3.467
-14.457 -3.849 4.567
! Spin magnetization, μB per cell: 1.998
! Formation energy without anion corrections, eV/atom: -1.26
! Space group: Cmmm, No. 65



2.
! AcBiSe3 | Alexandria | PBE | optimized geometry; values from VASP
&SYSTEM
  ibrav = 0, nat = 20, ntyp = 3
/
ATOMIC_SPECIES
Ac 227.00 Ac.upf
Bi 208.98 Bi.upf
Se 78.96 Se.upf
ATOMIC_POSITIONS crystal
Ac 0.764 0.530 0.138
Ac 0.236 0.470 0.862
Ac 0.264 0.470 0.362
Ac 0.736 0.530 0.638
Bi 0.311 0.911 0.618
Bi 0.689 0.089 0.382
Bi 0.811 0.089 0.882
Bi 0.189 0.911 0.118
Se 0.994 0.808 0.300
Se 0.006 0.192 0.700
Se 0.494 0.192 0.200
Se 0.506 0.808 0.800
Se 0.535 0.744 0.451
Se 0.465 0.256 0.549
Se 0.035 0.256 0.049
Se 0.965 0.744 0.951
Se 0.125 0.608 0.619
Se 0.875 0.392 0.381
Se 0.625 0.392 0.881
Se 0.375 0.608 0.119
CELL_PARAMETERS angstrom
7.747 0.000 0.000
0.000 7.840 0.145
0.000 -1.016 11.244
! Spin magnetization, μB per cell: 0.000
! Formation energy without anion corrections, eV/atom: -1.15
! Energy relative to the lowest polymorph listed for this composition, eV/atom: 0.042
! Space group: P2_1/c, No. 14



3.
! Nd6ScCd2 | Alexandria | PBE | optimized geometry; values from VASP
&SYSTEM
  ibrav = 0, nat = 9, ntyp = 3
/
ATOMIC_SPECIES
Nd 144.24 Nd.upf
Sc 44.96 Sc.upf
Cd 112.41 Cd.upf
ATOMIC_POSITIONS crystal
Nd 0.678 0.523 0.121
Nd 0.322 0.477 0.879
Nd 0.310 0.787 0.593
Nd 0.975 0.714 0.336
Nd 0.025 0.286 0.664
Nd 0.690 0.213 0.407
Sc 0.000 0.000 0.000
Cd 0.363 0.092 0.183
Cd 0.637 0.908 0.817
CELL_PARAMETERS angstrom
-0.668 2.698 2.542
-4.330 -2.612 4.425
6.783 -4.092 8.918
! ΔH_f (0 K), eV per formula unit: -1.0
! Spin magnetization, μB per cell: 0.000
! Space group: C2/m, No. 12



Which value of spin magnetization does entry 1 give? 1.998 μB per cell